Entry 1:
This record from Alexandria describes a geometry-optimized Cu2TcNi structure. The functional is PBE-GGA.

a = 3.991 Å, b = 2.517 Å, c = 5.112 Å
α = 75.53°, β = 90.00°, γ = 90.00°
Positions (direct):
Cu  0.000  0.048  0.028
Cu  0.500  0.447  0.233
Ni  0.000  0.302  0.524
Tc  0.500  0.703  0.716

Values from the calculation:
**Uncorrected energy**: -5.96 eV/atom
**Relative energy among the computed polymorphs**: 73.2 meV/atom
**SG**: Pm, No. 6
**Formation enthalpy at 0 K**: 0.125 eV per atom
**Magnetization**: 0.0 μB/f.u.

=====

Entry 2:
This record from Alexandria describes a geometry-optimized CaBeMoOs2 structure. The functional is PBE-GGA.

a = 4.644 Å, b = 4.563 Å, c = 4.644 Å
α = 90.00°, β = 90.00°, γ = 90.00°
Site moments in Bohr magnetons follow the coordinates.
Positions (direct):
Be  0.500  0.500  0.500  -0.02
Mo  0.000  0.500  0.000  0.49
Os  0.000  0.000  0.500  0.30
Os  0.500  0.000  0.000  0.30
Ca  0.000  0.000  0.000  0.00

Values from the calculation:
**Uncorrected energy**: -4.61 eV/atom
**SG**: P4/mmm, No. 123
**Formation enthalpy at 0 K**: 3.193 eV per atom
**Magnetization**: 1.1 μB/f.u.

=====

Entry 3:
This record from Alexandria describes a geometry-optimized P2RuSe structure. The functional is PBE-GGA.

a = 8.599 Å, b = 8.599 Å, c = 8.599 Å
α = 21.61°, β = 21.61°, γ = 21.61°
Positions (direct):
P  0.969  0.969  0.969
P  0.250  0.250  0.250
Ru  0.504  0.504  0.504
Se  0.777  0.777  0.777

Values from the calculation:
**Uncorrected energy**: -5.89 eV/atom
**Formation energy from raw total energies**: 0.0 eV/f.u.
**SG**: R3m, No. 160
**Magnetization**: 0.0 μB/f.u.

=====

Entry 4:
This record from Alexandria describes a geometry-optimized Ho2GaNi6 structure. The functional is PBE-GGA.

a = 5.761 Å, b = 5.761 Å, c = 5.761 Å
α = 60.00°, β = 60.00°, γ = 60.00°
Positions (direct):
Ho  0.250  0.250  0.250
Ho  0.750  0.750  0.750
Ga  0.000  0.000  0.000
Ni  0.286  0.714  0.714
Ni  0.286  0.714  0.286
Ni  0.714  0.286  0.714
Ni  0.714  0.286  0.286
Ni  0.714  0.714  0.286
Ni  0.286  0.286  0.714

Values from the calculation:
**Uncorrected energy**: -5.58 eV/atom
**Relative energy among the computed polymorphs**: 63.7 meV/atom
**SG**: Fm-3m, No. 225
**Formation enthalpy at 0 K**: -0.376 eV per atom
**Magnetization**: 0.0 μB/f.u.